1.
## LiAc6Sn5 (PBE)

Data for a relaxed LiAc6Sn5 crystal.

- Crystal system: orthorhombic

Cell lengths 10.2617, 10.2617, 10.2617 Å; angles 146.44, 136.04, 56.42 degrees
Positions (direct):
Li 0.0000 0.0000 0.0000
Ac 0.0856 0.8278 0.2578
Ac 0.2687 0.5000 0.7687
Ac 0.4301 0.1722 0.2578
Ac 0.5699 0.8278 0.7422
Ac 0.7313 0.5000 0.2313
Ac 0.9144 0.1722 0.7422
Sn 0.1531 0.6531 0.5000
Sn 0.3309 0.3309 0.0000
Sn 0.5000 0.0000 0.5000
Sn 0.6691 0.6691 0.0000
Sn 0.8469 0.3469 0.5000

---

2.
## Li3Ac2Sn4 (PBE)

Data for a relaxed Li3Ac2Sn4 crystal.

- Crystal system: orthorhombic

Cell lengths 9.0415, 9.0415, 8.4835 Å; angles 90.00, 90.00, 137.26 degrees
Positions (direct):
Li 0.0000 0.0000 0.0000
Li 0.0245 0.4755 0.2500
Li 0.4755 0.0245 0.7500
Li 0.5000 0.5000 0.5000
Li 0.5245 0.9755 0.2500
Li 0.9755 0.5245 0.7500
Ac 0.1108 0.8892 0.4051
Ac 0.3892 0.6108 0.9051
Ac 0.6108 0.3892 0.0949
Ac 0.8892 0.1108 0.5949
Sn 0.1765 0.8235 0.0055
Sn 0.1936 0.3064 0.2500
Sn 0.3064 0.1936 0.7500
Sn 0.3235 0.6765 0.5055
Sn 0.6765 0.3235 0.4945
Sn 0.6936 0.8064 0.2500
Sn 0.8064 0.6936 0.7500
Sn 0.8235 0.1765 0.9945

---

3.
## Li6AcSn4 (PBE)

Data for a relaxed Li6AcSn4 crystal.

- Crystal system: hexagonal

Cell lengths 7.7516, 7.7516, 4.6555 Å; angles 90.00, 90.00, 120.00 degrees
Positions (direct):
Li 0.2026 0.4052 0.0000
Li 0.2026 0.7974 0.0000
Li 0.2349 0.1174 0.5000
Li 0.5948 0.7974 0.0000
Li 0.8826 0.1174 0.5000
Li 0.8826 0.7651 0.5000
Ac 0.6667 0.3333 0.0000
Sn 0.0000 0.0000 0.0000
Sn 0.0694 0.5347 0.5000
Sn 0.4653 0.5347 0.5000
Sn 0.4653 0.9306 0.5000

---

4.
## Li2Ac3Sn4 (PBE)

Data for a relaxed Li2Ac3Sn4 crystal.

- Crystal system: monoclinic

Cell lengths 6.5515, 6.5515, 9.3870 Å; angles 104.43, 104.43, 43.55 degrees
Positions (direct):
Li 0.1702 0.1702 0.3441
Li 0.8298 0.8298 0.6559
Ac 0.1375 0.1375 0.6828
Ac 0.5000 0.5000 0.0000
Ac 0.8625 0.8625 0.3172
Sn 0.2098 0.2098 0.0675
Sn 0.4217 0.4217 0.6050
Sn 0.5783 0.5783 0.3950
Sn 0.7902 0.7902 0.9325

---

5.
## Li3Ac2Sn5 (PBE)

Data for a relaxed Li3Ac2Sn5 crystal.

- Crystal system: orthorhombic

Cell lengths 9.5963, 9.5963, 9.5963 Å; angles 107.48, 86.20, 139.99 degrees
Positions (direct):
Li 0.1396 0.5981 0.7377
Li 0.2500 0.2500 0.0000
Li 0.3604 0.0981 0.4585
Li 0.6396 0.9019 0.5415
Li 0.7500 0.7500 0.0000
Li 0.8604 0.4019 0.2623
Ac 0.1314 0.2689 0.4003
Ac 0.3686 0.7689 0.1376
Ac 0.6314 0.2311 0.8624
Ac 0.8686 0.7311 0.5997
Sn 0.0301 0.2500 0.7801
Sn 0.0998 0.8311 0.9309
Sn 0.2500 0.7500 0.5000
Sn 0.4002 0.3311 0.7313
Sn 0.4699 0.2500 0.2199
Sn 0.5301 0.7500 0.7801
Sn 0.5998 0.6689 0.2687
Sn 0.7500 0.2500 0.5000
Sn 0.9002 0.1689 0.0691
Sn 0.9699 0.7500 0.2199

---

6.
## LiAcSn (PBE)

Data for a relaxed LiAcSn crystal.

- Energy above the most stable polymorph in this dataset: 3 meV/atom
- Crystal system: hexagonal

Cell lengths 4.9233, 4.9233, 8.4502 Å; angles 90.00, 90.00, 120.00 degrees
Positions (direct):
Li 0.3333 0.6667 0.2500
Li 0.6667 0.3333 0.7500
Ac 0.0000 0.0000 0.0000
Ac 0.0000 0.0000 0.5000
Sn 0.3333 0.6667 0.7500
Sn 0.6667 0.3333 0.2500

---

7.
## LiAc5Sn4 (PBE)

Data for a relaxed LiAc5Sn4 crystal.

- Crystal system: monoclinic

Cell lengths 9.1448, 9.1448, 9.3669 Å; angles 97.35, 97.35, 27.72 degrees
Positions (direct):
Li 0.0000 0.0000 0.0000
Ac 0.0000 0.0000 0.5000
Ac 0.3208 0.3208 0.4081
Ac 0.3380 0.3380 0.8686
Ac 0.6620 0.6620 0.1314
Ac 0.6792 0.6792 0.5919
Sn 0.1392 0.1392 0.8515
Sn 0.4793 0.4793 0.2114
Sn 0.5207 0.5207 0.7886
Sn 0.8608 0.8608 0.1485

---

8.
## LiAcSn (PBE)

Data for a relaxed LiAcSn crystal.

- Energy above the most stable polymorph in this dataset: 203 meV/atom
- Crystal system: cubic

Cell lengths 5.3222, 5.3222, 5.3222 Å; angles 60.00, 60.00, 60.00 degrees
Positions (direct):
Li 0.0000 0.0000 0.0000
Ac 0.5000 0.5000 0.5000
Sn 0.2500 0.2500 0.2500

---

no.,ΔH_f (0 K) (eV per atom),total moment (μB/f.u.)
1,-0.544,0.00
2,-0.517,0.00
3,-0.392,0.00
4,-0.656,0.00
5,-0.524,0.00
6,-0.635,0.00
7,-0.391,0.00
8,-0.435,0.00